Computed, not measured: a geometry-optimized ScOsPb2 structure at the PBE level of DFT.

abc: 4.967 4.967 5.516
angles: 79.17 79.17 40.74
Fractional positions:
Pb (0.512, 0.512, 0.480)
Pb (0.988, 0.988, 0.020)
Os (0.250, 0.250, 0.250)
Sc (0.750, 0.750, 0.750)

Output
density of states at the Fermi level	2.181	states/eV/f.u.
M_tot	0.00	μB/f.u.
SG	No. 12
energy of formation from the pure elements	324	meV/atom
raw total energy	-0.4351	Ry/atom
E above lowest polymorph	0.289	eV per atom